No. 1
A plane-wave DFT calculation with GGA+U was carried out for CaErFeO4 after structural relaxation.

## Properties
Total magnetization in μB per cell: 10.0
Mass density in Mg/m³: 5.62
E in eV/atom: -7.150

a b c (Å): 6.3727 6.4922 6.4922
angles (deg): 61.10 60.61 60.61
Closest atoms and distances in Å follow each position.
Element x y z (fractional)
O: 0.2401 0.2550 0.7550  1 Fe 2.00
O: 0.7544 0.7356 0.7555  1 Fe 1.94
O: 0.2456 0.2644 0.2445  1 Fe 1.94
O: 0.2500 0.7450 0.2450  1 Fe 2.00
O: 0.7544 0.2555 0.2356  1 Fe 1.94
O: 0.7500 0.2550 0.7550  1 Fe 2.00
O: 0.7599 0.7450 0.2450  1 Fe 2.00
O: 0.2456 0.7445 0.7644  1 Fe 1.94
Ca: 0.5000 0.0000 0.5000  6 O 2.34
Ca: 0.0000 0.0000 0.5000  6 O 2.34
Fe: 0.6324 0.6176 0.1176  4 O 1.94-2.00
Fe: 0.3676 0.3824 0.8824  4 O 1.94-2.00
Er: 0.0000 0.0000 0.0000  6 O 2.26-2.27
Er: 0.0000 0.5000 0.5000  6 O 2.26-2.27

=====

No. 2
A plane-wave DFT calculation with GGA+U was carried out for CaEr2FeO5 after structural relaxation.

## Properties
Total magnetization in μB per cell: 4.0
Mass density in Mg/m³: 7.44
E in eV/atom: -7.334

a b c (Å): 5.6671 6.3425 6.3425
angles (deg): 90.00 90.00 90.00
Closest atoms and distances in Å follow each position.
Element x y z (fractional)
O: 0.7547 0.8569 0.3569  1 Fe 1.89
O: 0.7547 0.6431 0.8569  1 Fe 1.89
O: 0.2453 0.3569 0.1431  1 Fe 1.89
O: 0.2453 0.6431 0.8569  1 Fe 1.89
O: 0.5000 0.5000 0.5000  4 Er 2.34
O: 0.2453 0.8569 0.3569  1 Fe 1.89
O: 0.5000 0.0000 0.0000  4 Er 2.34
O: 0.7547 0.3569 0.1431  1 Fe 1.89
O: 0.2453 0.1431 0.6431  1 Fe 1.89
O: 0.7547 0.1431 0.6431  1 Fe 1.89
Er: 0.5000 0.8258 0.6742  4 O 2.18-2.34
Er: 0.5000 0.6742 0.1742  4 O 2.18-2.34
Er: 0.5000 0.3258 0.8258  4 O 2.18-2.34
Er: 0.5000 0.1742 0.3258  4 O 2.18-2.34
Fe: 0.0000 0.0000 0.5000  4 O 1.89
Fe: 0.0000 0.5000 0.0000  4 O 1.89
Ca: 0.0000 0.0000 0.0000  10 O 2.81-2.83
Ca: 0.0000 0.5000 0.5000  10 O 2.81-2.83

=====

Which of these has the highest total magnetization? CaErFeO4

=====

What is the formula in the second record? CaEr2FeO5